Below is an optimized crystal structure of TaMoS2, with properties calculated at the PBEsol level.

```
data_TaMoS2
_chemical_formula_sum 'Ta2 Mo2 S4'
_space_group_name_H-M_alt 'P 1'
_space_group_IT_number 1
_cell_length_a 7.747
_cell_length_b 7.747
_cell_length_c 7.747
_cell_angle_alpha 146.99
_cell_angle_beta 146.99
_cell_angle_gamma 47.37
loop_
_space_group_symop_operation_xyz
'x,y,z'
loop_
_atom_site_label
_atom_site_type_symbol
_atom_site_fract_x
_atom_site_fract_y
_atom_site_fract_z
_atom_site_occupancy
Ta1 Ta 0.000 0.000 0.000 1
Ta2 Ta 0.750 0.250 0.500 1
Mo1 Mo 0.250 0.750 0.500 1
Mo2 Mo 0.500 0.500 0.000 1
S1 S 0.136 0.625 0.011 1
S2 S 0.375 0.386 0.511 1
S3 S 0.614 0.125 0.989 1
S4 S 0.875 0.864 0.489 1
```

Output
**Size of the total moment**: 0.00 Bohr magnetons per cell
**ρ**: 8240 kg/m³
**Density of states at the Fermi level**: 2.33 states/eV/f.u.
**Space group**: No. 122
**Raw formation energy**: -0.290 eV/atom
**Polymorph energy (0 for the lowest one)**: 0.118 eV/atom
**E_tot**: -8.5620 eV per atom


Below is an optimized crystal structure of Ta2MoS6, with properties calculated at the PBEsol level.

```
data_Ta2MoS6
_chemical_formula_sum 'Ta2 Mo1 S6'
_space_group_name_H-M_alt 'P 1'
_space_group_IT_number 1
_cell_length_a 5.622
_cell_length_b 5.622
_cell_length_c 6.325
_cell_angle_alpha 98.56
_cell_angle_beta 98.56
_cell_angle_gamma 120.01
loop_
_space_group_symop_operation_xyz
'x,y,z'
loop_
_atom_site_label
_atom_site_type_symbol
_atom_site_fract_x
_atom_site_fract_y
_atom_site_fract_z
_atom_site_occupancy
Ta1 Ta 0.167 0.833 0.000 1
Ta2 Ta 0.833 0.167 0.000 1
Mo1 Mo 0.500 0.500 0.000 1
S1 S 0.086 0.414 0.743 1
S2 S 0.259 0.586 0.258 1
S3 S 0.414 0.086 0.743 1
S4 S 0.586 0.259 0.258 1
S5 S 0.742 0.742 0.743 1
S6 S 0.914 0.914 0.258 1
```

Output
**Size of the total moment**: 0.00 Bohr magnetons per cell
**ρ**: 6533 kg/m³
**Density of states at the Fermi level**: 5.88 states/eV/f.u.
**Space group**: No. 8
**Raw formation energy**: -1.050 eV/atom
**E_tot**: -8.0691 eV per atom


Below is an optimized crystal structure of Ta4MoS10, with properties calculated at the PBEsol level.

```
data_Ta4MoS10
_chemical_formula_sum 'Ta4 Mo1 S10'
_space_group_name_H-M_alt 'P 1'
_space_group_IT_number 1
_cell_length_a 13.775
_cell_length_b 13.775
_cell_length_c 6.368
_cell_angle_alpha 98.98
_cell_angle_beta 98.98
_cell_angle_gamma 13.59
loop_
_space_group_symop_operation_xyz
'x,y,z'
loop_
_atom_site_label
_atom_site_type_symbol
_atom_site_fract_x
_atom_site_fract_y
_atom_site_fract_z
_atom_site_occupancy
Ta1 Ta 0.000 0.000 0.000 1
Ta2 Ta 0.204 0.204 0.408 1
Ta3 Ta 0.397 0.397 0.794 1
Ta4 Ta 0.599 0.599 0.197 1
Mo1 Mo 0.799 0.799 0.599 1
S1 S 0.049 0.049 0.358 1
S2 S 0.084 0.084 0.907 1
S3 S 0.251 0.251 0.760 1
S4 S 0.286 0.286 0.314 1
S5 S 0.448 0.448 0.150 1
S6 S 0.482 0.482 0.709 1
S7 S 0.650 0.650 0.552 1
S8 S 0.684 0.684 0.116 1
S9 S 0.847 0.847 0.951 1
S10 S 0.882 0.882 0.506 1
```

Output
**Size of the total moment**: 0.00 Bohr magnetons per cell
**ρ**: 6751 kg/m³
**Density of states at the Fermi level**: 7.63 states/eV/f.u.
**Space group**: No. 8
**Raw formation energy**: -1.078 eV/atom
**E_tot**: -8.1325 eV per atom


Below is an optimized crystal structure of Ta3MoS8, with properties calculated at the PBEsol level.

```
data_Ta3MoS8
_chemical_formula_sum 'Ta3 Mo1 S8'
_space_group_name_H-M_alt 'P 1'
_space_group_IT_number 1
_cell_length_a 12.250
_cell_length_b 12.250
_cell_length_c 5.651
_cell_angle_alpha 94.43
_cell_angle_beta 94.43
_cell_angle_gamma 15.29
loop_
_space_group_symop_operation_xyz
'x,y,z'
loop_
_atom_site_label
_atom_site_type_symbol
_atom_site_fract_x
_atom_site_fract_y
_atom_site_fract_z
_atom_site_occupancy
Ta1 Ta 0.000 0.000 0.000 1
Ta2 Ta 0.250 0.250 0.747 1
Ta3 Ta 0.500 0.500 0.500 1
Mo1 Mo 0.750 0.750 0.251 1
S1 S 0.065 0.065 0.355 1
S2 S 0.188 0.188 0.067 1
S3 S 0.313 0.313 0.109 1
S4 S 0.435 0.435 0.811 1
S5 S 0.565 0.565 0.855 1
S6 S 0.687 0.687 0.557 1
S7 S 0.814 0.814 0.600 1
S8 S 0.935 0.935 0.311 1
```

Output
**Size of the total moment**: 0.00 Bohr magnetons per cell
**ρ**: 6669 kg/m³
**Density of states at the Fermi level**: 8.06 states/eV/f.u.
**Space group**: No. 8
**Raw formation energy**: -1.064 eV/atom
**E_tot**: -8.1049 eV per atom


Below is an optimized crystal structure of Ta4MoS8, with properties calculated at the PBEsol level.

```
data_Ta4MoS8
_chemical_formula_sum 'Ta4 Mo1 S8'
_space_group_name_H-M_alt 'P 1'
_space_group_IT_number 1
_cell_length_a 3.273
_cell_length_b 3.273
_cell_length_c 24.456
_cell_angle_alpha 90.00
_cell_angle_beta 90.00
_cell_angle_gamma 120.00
loop_
_space_group_symop_operation_xyz
'x,y,z'
loop_
_atom_site_label
_atom_site_type_symbol
_atom_site_fract_x
_atom_site_fract_y
_atom_site_fract_z
_atom_site_occupancy
Ta1 Ta 0.000 0.000 0.122 1
Ta2 Ta 0.000 0.000 0.370 1
Ta3 Ta 0.000 0.000 0.630 1
Ta4 Ta 0.000 0.000 0.878 1
Mo1 Mo 0.000 0.000 0.500 1
S1 S 0.333 0.667 0.306 1
S2 S 0.333 0.667 0.435 1
S3 S 0.333 0.667 0.813 1
S4 S 0.333 0.667 0.941 1
S5 S 0.667 0.333 0.059 1
S6 S 0.667 0.333 0.187 1
S7 S 0.667 0.333 0.565 1
S8 S 0.667 0.333 0.694 1
```

Output
**Size of the total moment**: 0.00 Bohr magnetons per cell
**ρ**: 7875 kg/m³
**Density of states at the Fermi level**: 6.98 states/eV/f.u.
**Space group**: No. 164
**Raw formation energy**: -1.026 eV/atom
**E_tot**: -8.4906 eV per atom


Below is an optimized crystal structure of TaMoS2, with properties calculated at the PBEsol level.

```
data_TaMoS2
_chemical_formula_sum 'Ta1 Mo1 S2'
_space_group_name_H-M_alt 'P 1'
_space_group_IT_number 1
_cell_length_a 8.318
_cell_length_b 8.318
_cell_length_c 8.318
_cell_angle_alpha 21.04
_cell_angle_beta 21.04
_cell_angle_gamma 21.04
loop_
_space_group_symop_operation_xyz
'x,y,z'
loop_
_atom_site_label
_atom_site_type_symbol
_atom_site_fract_x
_atom_site_fract_y
_atom_site_fract_z
_atom_site_occupancy
Ta1 Ta 0.000 0.000 0.000 1
Mo1 Mo 0.500 0.500 0.500 1
S1 S 0.404 0.404 0.404 1
S2 S 0.596 0.596 0.596 1
```

Output
**Size of the total moment**: 0.00 Bohr magnetons per cell
**ρ**: 8717 kg/m³
**Density of states at the Fermi level**: 2.16 states/eV/f.u.
**Space group**: No. 166
**Raw formation energy**: -0.408 eV/atom
**Polymorph energy (0 for the lowest one)**: 0.000 eV/atom
**E_tot**: -8.6802 eV per atom


Below is an optimized crystal structure of TbMo6S8, with properties calculated at the PBEsol level.

```
data_TbMo6S8
_chemical_formula_sum 'Tb1 Mo6 S8'
_space_group_name_H-M_alt 'P 1'
_space_group_IT_number 1
_cell_length_a 6.389
_cell_length_b 6.389
_cell_length_c 6.389
_cell_angle_alpha 88.85
_cell_angle_beta 88.85
_cell_angle_gamma 88.85
loop_
_space_group_symop_operation_xyz
'x,y,z'
loop_
_atom_site_label
_atom_site_type_symbol
_atom_site_fract_x
_atom_site_fract_y
_atom_site_fract_z
_atom_site_occupancy
Tb1 Tb 0.000 0.000 0.000 1
Mo1 Mo 0.221 0.420 0.562 1
Mo2 Mo 0.420 0.562 0.221 1
Mo3 Mo 0.438 0.779 0.580 1
Mo4 Mo 0.562 0.221 0.420 1
Mo5 Mo 0.580 0.438 0.779 1
Mo6 Mo 0.779 0.580 0.438 1
S1 S 0.127 0.756 0.371 1
S2 S 0.239 0.239 0.239 1
S3 S 0.244 0.629 0.873 1
S4 S 0.371 0.127 0.756 1
S5 S 0.629 0.873 0.244 1
S6 S 0.756 0.371 0.127 1
S7 S 0.761 0.761 0.761 1
S8 S 0.873 0.244 0.629 1
```

Output
**Size of the total moment**: 0.00 Bohr magnetons per cell
**ρ**: 6314 kg/m³
**Density of states at the Fermi level**: 5.90 states/eV/f.u.
**Space group**: No. 148
**Raw formation energy**: -1.001 eV/atom
**E_tot**: -8.3805 eV per atom


Below is an optimized crystal structure of Te2Mo3S4, with properties calculated at the PBEsol level.

```
data_Te2Mo3S4
_chemical_formula_sum 'Te2 Mo3 S4'
_space_group_name_H-M_alt 'P 1'
_space_group_IT_number 1
_cell_length_a 3.248
_cell_length_b 3.248
_cell_length_c 20.270
_cell_angle_alpha 90.00
_cell_angle_beta 90.00
_cell_angle_gamma 120.00
loop_
_space_group_symop_operation_xyz
'x,y,z'
loop_
_atom_site_label
_atom_site_type_symbol
_atom_site_fract_x
_atom_site_fract_y
_atom_site_fract_z
_atom_site_occupancy
Te1 Te 0.000 0.000 0.094 1
Te2 Te 0.000 0.000 0.906 1
Mo1 Mo 0.000 0.000 0.328 1
Mo2 Mo 0.000 0.000 0.672 1
Mo3 Mo 0.667 0.333 0.000 1
S1 S 0.667 0.333 0.253 1
S2 S 0.667 0.333 0.403 1
S3 S 0.667 0.333 0.597 1
S4 S 0.667 0.333 0.747 1
```

Output
**Size of the total moment**: 0.00 Bohr magnetons per cell
**ρ**: 6019 kg/m³
**Density of states at the Fermi level**: 0.82 states/eV/f.u.
**Space group**: No. 187
**Raw formation energy**: -0.669 eV/atom
**Polymorph energy (0 for the lowest one)**: 0.000 eV/atom
**E_tot**: -7.3241 eV per atom


Below is an optimized crystal structure of Te2Mo3S4, with properties calculated at the PBEsol level.

```
data_Te2Mo3S4
_chemical_formula_sum 'Te2 Mo3 S4'
_space_group_name_H-M_alt 'P 1'
_space_group_IT_number 1
_cell_length_a 3.248
_cell_length_b 3.248
_cell_length_c 20.286
_cell_angle_alpha 90.00
_cell_angle_beta 90.00
_cell_angle_gamma 120.00
loop_
_space_group_symop_operation_xyz
'x,y,z'
loop_
_atom_site_label
_atom_site_type_symbol
_atom_site_fract_x
_atom_site_fract_y
_atom_site_fract_z
_atom_site_occupancy
Te1 Te 0.000 0.000 0.000 1
Te2 Te 0.000 0.000 0.188 1
Mo1 Mo 0.000 0.000 0.422 1
Mo2 Mo 0.333 0.667 0.094 1
Mo3 Mo 0.333 0.667 0.725 1
S1 S 0.000 0.000 0.650 1
S2 S 0.000 0.000 0.800 1
S3 S 0.333 0.667 0.347 1
S4 S 0.333 0.667 0.497 1
```

Output
**Size of the total moment**: 0.00 Bohr magnetons per cell
**ρ**: 6015 kg/m³
**Density of states at the Fermi level**: 0.81 states/eV/f.u.
**Space group**: No. 156
**Raw formation energy**: -0.667 eV/atom
**Polymorph energy (0 for the lowest one)**: 0.003 eV/atom
**E_tot**: -7.3216 eV per atom


Below is an optimized crystal structure of TeMo2S3, with properties calculated at the PBEsol level.

```
data_TeMo2S3
_chemical_formula_sum 'Te2 Mo4 S6'
_space_group_name_H-M_alt 'P 1'
_space_group_IT_number 1
_cell_length_a 3.220
_cell_length_b 3.220
_cell_length_c 25.670
_cell_angle_alpha 90.00
_cell_angle_beta 90.00
_cell_angle_gamma 120.00
loop_
_space_group_symop_operation_xyz
'x,y,z'
loop_
_atom_site_label
_atom_site_type_symbol
_atom_site_fract_x
_atom_site_fract_y
_atom_site_fract_z
_atom_site_occupancy
Te1 Te 0.000 0.000 0.000 1
Te2 Te 0.000 0.000 0.150 1
Mo1 Mo 0.000 0.000 0.334 1
Mo2 Mo 0.000 0.000 0.815 1
Mo3 Mo 0.333 0.667 0.075 1
Mo4 Mo 0.333 0.667 0.575 1
S1 S 0.000 0.000 0.515 1
S2 S 0.000 0.000 0.634 1
S3 S 0.333 0.667 0.275 1
S4 S 0.333 0.667 0.394 1
S5 S 0.333 0.667 0.756 1
S6 S 0.333 0.667 0.875 1
```

Output
**Size of the total moment**: 0.00 Bohr magnetons per cell
**ρ**: 5990 kg/m³
**Density of states at the Fermi level**: 0.47 states/eV/f.u.
**Space group**: No. 156
**Raw formation energy**: -0.739 eV/atom
**E_tot**: -7.4418 eV per atom


Below is an optimized crystal structure of Te4Mo2WS2, with properties calculated at the PBEsol level.

```
data_Te4Mo2WS2
_chemical_formula_sum 'Te4 Mo2 W1 S2'
_space_group_name_H-M_alt 'P 1'
_space_group_IT_number 1
_cell_length_a 3.357
_cell_length_b 3.357
_cell_length_c 21.324
_cell_angle_alpha 90.00
_cell_angle_beta 90.00
_cell_angle_gamma 120.00
loop_
_space_group_symop_operation_xyz
'x,y,z'
loop_
_atom_site_label
_atom_site_type_symbol
_atom_site_fract_x
_atom_site_fract_y
_atom_site_fract_z
_atom_site_occupancy
Te1 Te 0.000 0.000 0.103 1
Te2 Te 0.000 0.000 0.278 1
Te3 Te 0.000 0.000 0.722 1
Te4 Te 0.000 0.000 0.897 1
Mo1 Mo 0.333 0.667 0.190 1
Mo2 Mo 0.333 0.667 0.810 1
W1 W 0.000 0.000 0.500 1
S1 S 0.333 0.667 0.430 1
S2 S 0.333 0.667 0.570 1
```

Output
**Size of the total moment**: 0.00 Bohr magnetons per cell
**ρ**: 7580 kg/m³
**Density of states at the Fermi level**: 1.32 states/eV/f.u.
**Space group**: No. 187
**Raw formation energy**: -0.412 eV/atom
**Polymorph energy (0 for the lowest one)**: 0.003 eV/atom
**E_tot**: -7.1030 eV per atom


Below is an optimized crystal structure of Te4Mo2WS2, with properties calculated at the PBEsol level.

```
data_Te4Mo2WS2
_chemical_formula_sum 'Te4 Mo2 W1 S2'
_space_group_name_H-M_alt 'P 1'
_space_group_IT_number 1
_cell_length_a 3.358
_cell_length_b 3.358
_cell_length_c 21.242
_cell_angle_alpha 90.00
_cell_angle_beta 90.00
_cell_angle_gamma 120.00
loop_
_space_group_symop_operation_xyz
'x,y,z'
loop_
_atom_site_label
_atom_site_type_symbol
_atom_site_fract_x
_atom_site_fract_y
_atom_site_fract_z
_atom_site_occupancy
Te1 Te 0.000 0.000 0.000 1
Te2 Te 0.000 0.000 0.175 1
Te3 Te 0.333 0.667 0.666 1
Te4 Te 0.333 0.667 0.841 1
Mo1 Mo 0.000 0.000 0.753 1
Mo2 Mo 0.333 0.667 0.088 1
W1 W 0.333 0.667 0.442 1
S1 S 0.000 0.000 0.372 1
S2 S 0.000 0.000 0.513 1
```

Output
**Size of the total moment**: 0.00 Bohr magnetons per cell
**ρ**: 7607 kg/m³
**Density of states at the Fermi level**: 1.01 states/eV/f.u.
**Space group**: No. 156
**Raw formation energy**: -0.415 eV/atom
**Polymorph energy (0 for the lowest one)**: 0.000 eV/atom
**E_tot**: -7.1058 eV per atom